# 1
{"formula": "TbHo2O", "functional": "GGA-PBE", "state": "relaxed", "dos_at_fermi_per_ev_atom": 1.134, "formation_energy_uncorrected_ev_per_atom": -1.352, "magnetic_moment_mub_per_fu": 0.0, "cell": [[1.7481, 1.0092, 8.6707], [-1.7481, 1.0092, 8.6707], [0.0000, -2.0185, 8.6707]], "species": ["Tb", "Ho", "Ho", "O"], "frac_coords": [[0.0000, 0.0000, 0.0000], [0.2193, 0.2193, 0.2193], [0.7807, 0.7807, 0.7807], [0.5000, 0.5000, 0.5000]]}

# 2
{"formula": "LiSm2NpS4", "functional": "GGA-PBE", "state": "relaxed", "dos_at_fermi_per_ev_atom": 1.496, "formation_energy_uncorrected_ev_per_atom": -1.731, "magnetic_moment_mub_per_fu": 4.4, "cell": [[6.8275, 0.0000, 0.0000], [0.0000, 3.9580, 0.0000], [-2.3229, 0.0000, 6.4313]], "species": ["Li", "Sm", "Sm", "Np", "S", "S", "S", "S"], "frac_coords": [[0.0000, 0.0000, 0.0000], [0.5000, 0.0000, 0.5000], [0.5000, 0.5000, 0.0000], [0.0000, 0.5000, 0.5000], [0.2398, 0.0000, 0.7494], [0.2398, 0.5000, 0.2428], [0.7602, 0.0000, 0.2506], [0.7602, 0.5000, 0.7572]]}

# 3
{"formula": "ReNiGe", "functional": "GGA-PBE", "state": "relaxed", "dos_at_fermi_per_ev_atom": 0.646, "formation_enthalpy_0k_mev_per_atom": 10, "magnetic_moment_mub_per_fu": 0.0, "cell": [[-1.4907, 1.4907, 9.9085], [1.4907, -1.4907, 9.9085], [1.4907, 1.4907, -9.9085]], "species": ["Re", "Re", "Ni", "Ni", "Ge", "Ge"], "frac_coords": [[0.2128, 0.2128, 0.0000], [0.7872, 0.7872, 0.0000], [0.3790, 0.3790, 0.0000], [0.6210, 0.6210, 0.0000], [0.0635, 0.0635, 0.0000], [0.9365, 0.9365, 0.0000]]}